The following is a DFT calculation (PBE) of CaZnOs2 after structural relaxation.

Summary:
**Magnetic moment**: 0.0 Bohr magnetons per cell
**Fermi-level density of states**: 2.97 states/eV/cell
**Crystal system**: orthorhombic
**Energy of formation from the pure elements**: 238 meV/atom
**ρ**: 11.19 g/cm³

Cell lengths 2.842, 3.711, 6.837 Å; angles 90.00, 90.00, 90.00 degrees
Sites, in units of the cell vectors:
Os1 0.000 0.000 0.067
Os2 0.500 0.500 0.228
Ca1 0.500 0.500 0.752
Zn1 0.000 0.000 0.453